Entry from the Alexandria database: La3Al8Zn3 after structural relaxation (PBE).

Lattice parameters (Å, degrees): 4.425 8.511 8.511 74.21 74.93 74.93
Positions (direct):
La1 0.500 0.500 0.500
La2 0.817 0.183 0.183
La3 0.183 0.817 0.817
Al1 0.630 0.092 0.647
Al2 0.370 0.908 0.353
Al3 0.630 0.647 0.092
Al4 0.370 0.353 0.908
Al5 0.835 0.797 0.533
Al6 0.165 0.203 0.467
Al7 0.835 0.533 0.797
Al8 0.165 0.467 0.203
Zn1 0.500 0.000 0.000
Zn2 0.000 0.778 0.222
Zn3 0.000 0.222 0.778

Values from the calculation:
Total magnetic moment ... 0.000 μB per atom
Formation energy from the elements ... -0.38 eV/atom
DFT total energy ... -3.849 eV per atom



Entry from the Alexandria database: CdFe2Au after structural relaxation (PBE).

Lattice parameters (Å, degrees): 3.949 3.949 4.015 90.00 90.00 90.00
Positions (direct):
Au1 0.500 0.000 0.500
Cd1 0.000 0.500 0.500
Fe1 0.000 0.000 0.000
Fe2 0.500 0.500 0.000

Values from the calculation:
Total magnetic moment ... 1.349 μB per atom
Formation energy from the elements ... 0.23 eV/atom
DFT total energy ... -5.048 eV per atom



Entry from the Alexandria database: Ba6SrMg2 after structural relaxation (PBE).

Lattice parameters (Å, degrees): 4.372 8.041 14.390 75.71 81.26 74.22
Positions (direct):
Ba1 0.691 0.494 0.125
Ba2 0.309 0.506 0.875
Ba3 0.305 0.791 0.600
Ba4 0.973 0.722 0.332
Ba5 0.027 0.278 0.668
Ba6 0.695 0.209 0.400
Sr1 0.000 0.000 0.000
Mg1 0.354 0.094 0.199
Mg2 0.646 0.906 0.801

Values from the calculation:
Total magnetic moment ... 0.000 μB per atom
Formation energy from the elements ... 0.02 eV/atom
DFT total energy ... -1.807 eV per atom